1.
The following is a PBE calculation of NiTeIr2 after structural relaxation, from Alexandria via LeMat-Bulk.

Cell: 2.904 4.933 9.110 Å, 90.00 90.00 90.00°
Space group Cmmm (No. 65)
One atom of each set of equivalent atoms:
Ni 0.000 0.000 0.000 (multiplicity 2)
Te 0.000 0.000 0.500 (multiplicity 2)
Ir 0.000 0.500 0.225 (multiplicity 4)

Energy relative to the elements, uncorrected   0.6872 eV/atom

=====

2.
The following is a PBE calculation of Ni2Te4Ir after structural relaxation, from Alexandria via LeMat-Bulk.

Cell: 12.602 4.076 6.721 Å, 90.00 120.00 90.00°
Space group C2/m (No. 12)
One atom of each set of equivalent atoms:
Ni 0.239 0.000 0.219 (multiplicity 4)
Te 0.122 0.500 0.969 (multiplicity 4)
Te 0.136 0.000 0.479 (multiplicity 4)
Ir 0.000 0.500 0.500 (multiplicity 2)

Energy relative to the elements, uncorrected   -0.1767 eV/atom

=====

3.
The following is a PBE calculation of NiTeIr2 after structural relaxation, from Alexandria via LeMat-Bulk.

Cell: 4.025 4.025 3.808 Å, 90.00 90.00 90.00°
Space group P4/mmm (No. 123)
One atom of each set of equivalent atoms:
Ni 0.000 0.000 0.000 (multiplicity 1)
Te 0.500 0.500 0.000 (multiplicity 1)
Ir 0.000 0.500 0.500 (multiplicity 2)

Energy relative to the elements, uncorrected   0.3269 eV/atom

=====

Number 2 is which compound? Ni2Te4Ir

=====

Among the records above, which one has the highest energy relative to the elements, uncorrected? number 1

=====

Which value of energy relative to the elements, uncorrected does entry 1 give? 0.6872 eV/atom

=====

Number 3 is which compound? NiTeIr2